1.
# PBE-GGA HoSi7Ir3, relaxed
data_HoSi7Ir3
_chemical_formula_sum 'Ho2 Si14 Ir6'
_symmetry_space_group_name_H-M 'P 1'
_symmetry_Int_Tables_number 1
_symmetry_space_group_name_Hall 'P 1'
_cell_length_a 7.616
_cell_length_b 7.616
_cell_length_c 8.043
_cell_angle_alpha 61.74
_cell_angle_beta 61.74
_cell_angle_gamma 60.00
loop_
_atom_site_label
_atom_site_type_symbol
_atom_site_fract_x
_atom_site_fract_y
_atom_site_fract_z
Ho1 Ho 0.500 0.500 0.500
Ho2 Ho 0.000 0.000 0.000
Si1 Si 0.673 0.064 0.413
Si2 Si 0.064 0.850 0.413
Si3 Si 0.850 0.673 0.413
Si4 Si 0.827 0.650 0.087
Si5 Si 0.436 0.827 0.087
Si6 Si 0.650 0.436 0.087
Si7 Si 0.327 0.936 0.587
Si8 Si 0.936 0.150 0.587
Si9 Si 0.150 0.327 0.587
Si10 Si 0.173 0.350 0.913
Si11 Si 0.564 0.173 0.913
Si12 Si 0.350 0.564 0.913
Si13 Si 0.750 0.750 0.750
Si14 Si 0.250 0.250 0.250
Ir1 Ir 0.429 0.071 0.750
Ir2 Ir 0.071 0.750 0.750
Ir3 Ir 0.750 0.429 0.750
Ir4 Ir 0.571 0.929 0.250
Ir5 Ir 0.929 0.250 0.250
Ir6 Ir 0.250 0.571 0.250
# symmetry = R-3c (167)
# total DFT energy (no corrections) = -7.005 eV/atom
# uncorrected formation energy = -765 kJ/mol of formula units

=====

2.
# PBE-GGA ZrAg3Br8, relaxed
data_ZrAg3Br8
_chemical_formula_sum 'Zr1 Ag3 Br8'
_symmetry_space_group_name_H-M 'P 1'
_symmetry_Int_Tables_number 1
_symmetry_space_group_name_Hall 'P 1'
_cell_length_a 8.293
_cell_length_b 8.272
_cell_length_c 8.189
_cell_angle_alpha 120.45
_cell_angle_beta 90.00
_cell_angle_gamma 120.08
loop_
_atom_site_label
_atom_site_type_symbol
_atom_site_fract_x
_atom_site_fract_y
_atom_site_fract_z
Zr1 Zr 0.000 0.000 0.000
Ag1 Ag 0.500 0.000 0.000
Ag2 Ag 0.500 0.500 0.000
Ag3 Ag 0.000 0.500 0.000
Br1 Br 0.272 0.544 0.818
Br2 Br 0.728 0.456 0.182
Br3 Br 0.219 0.991 0.762
Br4 Br 0.772 0.991 0.762
Br5 Br 0.771 0.542 0.758
Br6 Br 0.229 0.458 0.242
Br7 Br 0.228 0.009 0.238
Br8 Br 0.781 0.009 0.238
# symmetry = C2/m (12)
# total DFT energy (no corrections) = -3.263 eV/atom
# uncorrected formation energy = -836 kJ/mol of formula units

=====

3.
# PBE-GGA Tb2Pm4Sm2Tm, relaxed
data_Tb2Pm4Sm2Tm
_chemical_formula_sum 'Tb2 Pm4 Sm2 Tm1'
_symmetry_space_group_name_H-M 'P 1'
_symmetry_Int_Tables_number 1
_symmetry_space_group_name_Hall 'P 1'
_cell_length_a 5.106
_cell_length_b 8.076
_cell_length_c 8.049
_cell_angle_alpha 107.56
_cell_angle_beta 90.00
_cell_angle_gamma 108.43
loop_
_atom_site_label
_atom_site_type_symbol
_atom_site_fract_x
_atom_site_fract_y
_atom_site_fract_z
Tb1 Tb 0.334 0.668 0.000
Tb2 Tb 0.666 0.332 0.000
Pm1 Pm 0.778 0.556 0.669
Pm2 Pm 0.222 0.444 0.331
Pm3 Pm 0.555 0.110 0.331
Pm4 Pm 0.445 0.890 0.669
Sm1 Sm 0.889 0.777 0.331
Sm2 Sm 0.111 0.223 0.669
Tm1 Tm 0.000 0.000 0.000
# ΔE_f = 0.2 eV/f.u.
# symmetry = C2/m (12)
# total DFT energy (no corrections) = -4.668 eV/atom